# 1
The following is a GGA-PBE calculation of a relaxed structure of Ga2Cu2Se, from Alexandria.

Cell lengths 7.821, 7.821, 2.667 Å; angles 90.00, 90.00, 90.00 degrees
Space group P4/mbm (No. 127)
Inequivalent atoms, fractional coordinates:
Ga (0.189, 0.311, 0.000) (multiplicity 4)
Cu (0.109, 0.609, 0.500) (multiplicity 4)
Se (0.000, 0.000, 0.000) (multiplicity 2)

The calculation puts the energy above the lowest structure with this stoichiometry at 0.023 eV per atom. As for the density of states at the Fermi level: 0.307 states/eV per atom.

***

# 2
The following is a GGA-PBE calculation of a relaxed structure of Ho2AlSi3Rh4, from Alexandria.

Cell lengths 4.104, 4.104, 9.971 Å; angles 90.00, 90.00, 90.00 degrees
Space group P-4m2 (No. 115)
Inequivalent atoms, fractional coordinates:
Ho (0.000, 0.500, 0.249) (multiplicity 2)
Al (0.000, 0.000, 0.500) (multiplicity 1)
Si (0.000, 0.500, 0.872) (multiplicity 2)
Si (0.500, 0.500, 0.500) (multiplicity 1)
Rh (0.000, 0.000, 0.000) (multiplicity 1)
Rh (0.000, 0.500, 0.636) (multiplicity 2)
Rh (0.500, 0.500, 0.000) (multiplicity 1)

As for the density of states at the Fermi level: 0.668 states/eV per atom.

***

Number 1: electronic total energy -35.0 eV per cell. Number 2: electronic total energy -69.1 eV per cell.